(1)
Material: Ni2GeAu
Method: DFT, GGA-PBE
State: relaxed

Summary:
Formation enthalpy at 0 K = -45.4 kJ/mol of formula units
Total magnetic moment = 0.0000 μB/atom
SG = No. 123
Final energy = -19.93 eV for the cell shown

Cell lengths 2.925, 2.925, 6.325 Å; angles 90.00, 90.00, 90.00 degrees
Atoms (fractional coordinates):
Au (0.500, 0.500, 0.500)
Ni (0.000, 0.000, 0.789)
Ni (0.000, 0.000, 0.211)
Ge (0.500, 0.500, 0.000)

***

(2)
Material: CrMoPb2
Method: DFT, GGA-PBE
State: relaxed

Summary:
Formation enthalpy at 0 K = 316.8 kJ/mol of formula units
Total magnetic moment = 1.3719 μB/atom
SG = No. 65
Final energy = -24.59 eV for the cell shown

Cell lengths 3.304, 3.304, 8.035 Å; angles 90.00, 90.00, 99.94 degrees
Last column: magnetic moment on the atom in μB.
Atoms (fractional coordinates):
Pb (0.000, 0.000, 0.506)  -0.07
Pb (0.000, 0.000, 0.994)  -0.07
Mo (0.500, 0.500, 0.750)  1.35
Cr (0.500, 0.500, 0.250)  3.71

***

(3)
Material: KY2Ho3Te6
Method: DFT, GGA-PBE
State: relaxed

Summary:
Uncorrected formation energy = -1.287 eV/atom
Total magnetic moment = 0.0000 μB/atom
SG = No. 12
Final energy = -62.06 eV for the cell shown

Cell lengths 4.365, 8.978, 9.905 Å; angles 103.68, 102.73, 90.00 degrees
Atoms (fractional coordinates):
Y (0.829, 0.654, 0.659)
Y (0.171, 0.346, 0.341)
Ho (0.161, 0.821, 0.323)
Ho (0.500, 0.500, 0.000)
Ho (0.839, 0.179, 0.677)
Te (0.003, 0.267, 0.006)
Te (0.325, 0.915, 0.650)
Te (0.997, 0.733, 0.994)
Te (0.675, 0.085, 0.350)
Te (0.665, 0.585, 0.329)
Te (0.335, 0.415, 0.671)
K (0.500, 0.000, 0.000)